(1)
A plane-wave DFT calculation with PBE was carried out for FeSb after structural relaxation.

## Properties
**Calculated density**: 8100 kg/m3
**Formation energy without anion corrections**: 0.272 eV/atom
**Total magnetic moment**: 2.00 μB/f.u.

Cell lengths 4.0287, 3.0710, 11.7709 Å; angles 90.00, 90.00, 90.00 degrees
With the nearest neighbours (Å) after each atom.
Positions (direct):
Sb  0.0000  0.5000  0.1561  6 Fe 2.74-2.86
Sb  0.5000  0.0000  0.6561  6 Fe 2.74-2.86
Sb  0.0000  0.0000  0.4141  6 Fe 2.60-2.64
Sb  0.5000  0.5000  0.9141  6 Fe 2.60-2.64
Fe  0.0000  0.5000  0.7687  6 Sb 2.64-2.86, 2 Fe 2.76
Fe  0.5000  0.0000  0.2687  6 Sb 2.64-2.86, 2 Fe 2.76
Fe  0.0000  0.0000  0.9638  6 Sb 2.60-2.74, 2 Fe 2.76
Fe  0.5000  0.5000  0.4638  6 Sb 2.60-2.74, 2 Fe 2.76


(2)
A plane-wave DFT calculation with PBE was carried out for ZrScRe2 after structural relaxation.

## Properties
**ΔE_f**: 0.18 eV/atom
**Calculated density**: 11866 kg/m3
**Total magnetic moment**: 0.00 μB/f.u.

Cell lengths 2.9342, 4.3749, 5.5446 Å; angles 90.00, 90.00, 90.00 degrees
With the nearest neighbours (Å) after each atom.
Positions (direct):
Re  0.0000  0.0000  0.0228  1 Sc 2.59, 4 Re 2.88
Re  0.5000  0.5000  0.2329  2 Zr 2.66-2.89, 6 Re 2.88-2.93
Sc  0.0000  0.0000  0.4906  1 Re 2.59
Zr  0.5000  0.5000  0.7537  2 Re 2.66-2.89, 2 Zr 2.93


(3)
A plane-wave DFT calculation with PBE was carried out for Ba2Ag2Cl7 after structural relaxation.

## Properties
**Calculated density**: 3558 kg/m3
**Formation energy without anion corrections**: -1.381 eV/atom
**Total magnetic moment**: 0.00 μB/f.u.

Cell lengths 6.9825, 7.0693, 6.9825 Å; angles 89.99, 89.86, 90.01 degrees
With the nearest neighbours (Å) after each atom.
Positions (direct):
Ba  0.7382  0.5000  0.7382  6 Cl 3.02-3.09
Ba  0.2618  0.5000  0.2618  6 Cl 3.02-3.09
Ag  0.7386  0.0000  0.2614  3 Cl 2.58-2.87
Ag  0.2614  0.0000  0.7386  3 Cl 2.58-2.87
Cl  0.9998  0.2368  0.5004  2 Ag 2.99, 2 Ba 3.09
Cl  0.5004  0.7632  0.9998  2 Ag 2.99, 2 Ba 3.09
Cl  0.0002  0.7632  0.4996  2 Ag 2.99, 2 Ba 3.09
Cl  0.4996  0.2368  0.0002  2 Ag 2.99, 2 Ba 3.09
Cl  0.0000  0.0000  0.0000  2 Ag 2.58
Cl  0.5002  0.7684  0.4998  2 Ag 2.86-2.87, 2 Ba 3.02
Cl  0.4998  0.2316  0.5002  2 Ag 2.86-2.87, 2 Ba 3.02


(4)
A plane-wave DFT calculation with PBE was carried out for Pr2YTe2S2 after structural relaxation.

## Properties
**Calculated density**: 5496 kg/m3
**Formation energy without anion corrections**: -1.519 eV/atom
**Total magnetic moment**: 0.00 μB/f.u.

Cell lengths 5.0709, 5.0709, 8.8660 Å; angles 106.62, 106.62, 90.00 degrees
With the nearest neighbours (Å) after each atom.
Positions (direct):
Pr  0.3835  0.3835  0.7669  4 S 3.16, 1 Te 3.21
Pr  0.6165  0.6165  0.2331  4 S 3.16, 1 Te 3.21
Y  0.0000  0.0000  0.0000  4 S 2.54
Te  0.1856  0.1856  0.3713  1 Y 3.01, 1 Pr 3.21
Te  0.8144  0.8144  0.6287  1 Y 3.01, 1 Pr 3.21
S  0.0000  0.5000  0.0000  2 Y 2.54
S  0.5000  0.0000  0.0000  2 Y 2.54